Entry 1:
# Mg2TiPb, relaxed, DFT PBE
data_Mg2TiPb
_chemical_formula_sum 'Mg6 Ti3 Pb3'
_cell_length_a 3.2038
_cell_length_b 3.2038
_cell_length_c 33.3736
_cell_angle_alpha 90.00
_cell_angle_beta 90.00
_cell_angle_gamma 120.00
_symmetry_space_group_name_H-M 'R -3 m'
_symmetry_Int_Tables_number 166
_symmetry_space_group_name_Hall '-R 3 2"'
loop_
_atom_site_label
_atom_site_fract_x
_atom_site_fract_y
_atom_site_fract_z
Mg1 0.0000 0.0000 0.0851
Ti1 0.0000 0.0000 0.0000
Pb1 0.0000 0.0000 0.5000
# E_tot: -3.270 eV per atom
# Total magnetic moment: 1.80 μB/f.u.
# Formation energy from the elements: 0.4284 eV/atom


Entry 2:
# KLaIn2, relaxed, DFT PBE
data_KLaIn2
_chemical_formula_sum 'K2 La2 In4'
_cell_length_a 5.002
_cell_length_b 5.002
_cell_length_c 10.146
_cell_angle_alpha 90.00
_cell_angle_beta 90.00
_cell_angle_gamma 90.00
_symmetry_space_group_name_H-M 'I -4 m 2'
_symmetry_Int_Tables_number 119
_symmetry_space_group_name_Hall 'I -4 -2'
loop_
_atom_site_label
_atom_site_fract_x
_atom_site_fract_y
_atom_site_fract_z
K1 0.000 0.000 0.000
La1 0.000 0.500 0.750
In1 0.000 0.000 0.500
In2 0.000 0.500 0.250
# E_tot: -2.931 eV per atom
# Polymorph energy (0 for the lowest one): 0.77 eV/f.u.
# Total magnetic moment: 0.00 μB/f.u.
# Formation energy from the elements: -0.0553 eV/atom


Entry 3:
# CuPtRhO4, relaxed, DFT PBE
data_CuPtRhO4
_chemical_formula_sum 'Cu4 Pt4 Rh4 O16'
_cell_length_a 6.107
_cell_length_b 6.230
_cell_length_c 8.718
_cell_angle_alpha 90.00
_cell_angle_beta 90.00
_cell_angle_gamma 90.00
_symmetry_space_group_name_H-M 'I m m a'
_symmetry_Int_Tables_number 74
_symmetry_space_group_name_Hall '-I 2b 2'
loop_
_atom_site_label
_atom_site_fract_x
_atom_site_fract_y
_atom_site_fract_z
Cu1 0.000 0.250 0.133
Pt1 0.000 0.000 0.500
Rh1 0.250 0.250 0.750
O1 0.000 0.024 0.737
O2 0.226 0.250 0.511
# Formation energy (no corrections): -0.53 eV/atom
# E_tot: -5.866 eV per atom
# Total magnetic moment: 0.00 μB/f.u.


Entry 4:
# Er3CdCu, relaxed, DFT PBE
data_Er3CdCu
_chemical_formula_sum 'Er12 Cd4 Cu4'
_cell_length_a 15.297
_cell_length_b 9.825
_cell_length_c 3.643
_cell_angle_alpha 90.00
_cell_angle_beta 90.00
_cell_angle_gamma 90.00
_symmetry_space_group_name_H-M 'C 1 m 1'
_symmetry_Int_Tables_number 8
_symmetry_space_group_name_Hall 'C -2y'
loop_
_atom_site_label
_atom_site_fract_x
_atom_site_fract_y
_atom_site_fract_z
Er1 0.000 0.000 0.000
Er2 0.060 0.298 0.501
Er3 0.290 0.298 0.501
Er4 0.350 0.000 0.000
Cd1 0.175 0.000 0.500
Cd2 0.175 0.500 0.001
Cu1 0.425 0.250 0.002
# E_tot: -3.763 eV per atom
# Total magnetic moment: 0.00 μB/f.u.
# Formation energy from the elements: -0.0235 eV/atom